{"formula": "Na4NiF6", "functional": "GGA+U", "state": "relaxed", "lattice_angstrom": [[-1.441, -2.909, -5.683], [0.236, -5.807, 3.010], [-6.395, 0.344, 1.349]], "species": ["Ni", "Ni", "F", "F", "F", "F", "F", "F", "F", "F", "F", "F", "F", "F", "Na", "Na", "Na", "Na", "Na", "Na", "Na", "Na"], "frac_coords": [[0.000, 0.000, 0.000], [0.500, 0.500, 0.500], [0.704, 0.051, 0.070], [0.930, 0.704, 0.949], [0.070, 0.296, 0.051], [0.570, 0.449, 0.204], [0.204, 0.430, 0.449], [0.051, 0.930, 0.296], [0.430, 0.551, 0.796], [0.449, 0.796, 0.430], [0.551, 0.204, 0.570], [0.796, 0.570, 0.551], [0.296, 0.949, 0.930], [0.949, 0.070, 0.704], [0.750, 0.750, 0.250], [0.607, 0.893, 0.750], [0.250, 0.607, 0.107], [0.107, 0.750, 0.607], [0.750, 0.393, 0.893], [0.250, 0.250, 0.750], [0.393, 0.107, 0.250], [0.893, 0.250, 0.393]], "magnetic_moment_mub_per_fu": 2.00, "final_energy_ev_per_cell": -94.579}